[1]
Computed, not measured: a relaxed structure of Na12PtPb6 at the GGA-PBE level of DFT.

Output
Theoretical density, Mg/m³: 5.11
Raw total energy, eV/atom: -2.460

a b c (Å): 8.2322 8.2322 8.2322
angles (deg): 88.57 88.57 88.57
Sites, in units of the cell vectors:
Na 0.4764 0.1892 0.5747
Na 0.1892 0.5747 0.4764
Na 0.5747 0.4764 0.1892
Na 0.5236 0.8108 0.4253
Na 0.8108 0.4253 0.5236
Na 0.4253 0.5236 0.8108
Na 0.8628 0.9620 0.6323
Na 0.3677 0.1372 0.0380
Na 0.0380 0.3677 0.1372
Na 0.1372 0.0380 0.3677
Na 0.6323 0.8628 0.9620
Na 0.9620 0.6323 0.8628
Pt 0.0000 0.0000 0.0000
Pb 0.1150 0.2558 0.7476
Pb 0.7442 0.2524 0.8850
Pb 0.2524 0.8850 0.7442
Pb 0.8850 0.7442 0.2524
Pb 0.2558 0.7476 0.1150
Pb 0.7476 0.1150 0.2558

=====

[2]
Computed, not measured: a relaxed structure of Na6PtPb2 at the GGA-PBE level of DFT.

Output
Energy relative to the lowest polymorph listed for this composition, meV per atom: 0
Theoretical density, Mg/m³: 4.82
Raw total energy, eV/atom: -2.530

a b c (Å): 5.3752 5.3752 10.7385
angles (deg): 75.51 75.51 60.00
Sites, in units of the cell vectors:
Na 0.5856 0.5856 0.2433
Na 0.8072 0.8072 0.5785
Na 0.6931 0.6931 0.9208
Na 0.1928 0.1928 0.4215
Na 0.4144 0.4144 0.7567
Na 0.3069 0.3069 0.0792
Pt 0.0000 0.0000 0.0000
Pb 0.9130 0.9130 0.2609
Pb 0.0870 0.0870 0.7391

=====

[3]
Computed, not measured: a relaxed structure of NaPt2Pb2 at the GGA-PBE level of DFT.

Output
Energy relative to the lowest polymorph listed for this composition, meV per atom: 0
Theoretical density, Mg/m³: 12.24
Raw total energy, eV/atom: -4.343

a b c (Å): 7.8905 7.8905 3.6063
angles (deg): 90.00 90.00 90.00
Sites, in units of the cell vectors:
Pb 0.1636 0.6636 0.5000
Pb 0.6636 0.8364 0.5000
Pb 0.8364 0.3364 0.5000
Pb 0.3364 0.1636 0.5000
Na 0.0000 0.0000 0.0000
Na 0.5000 0.5000 0.0000
Pt 0.3684 0.8684 0.0000
Pt 0.8684 0.6316 0.0000
Pt 0.6316 0.1316 0.0000
Pt 0.1316 0.3684 0.0000